# Zr6TlIn3 | Alexandria | GGA-PBE | relaxed
# E: -6.369 eV per atom
# DFT formation energy: -0.182 eV/atom
# offset from the most stable computed form: 0.0000 eV per atom
# volume: 452 Å³ per cell
data_Zr6TlIn3
_space_group_name_H-M_alt 'P 1'
_space_group_IT_number 1
_cell_length_a 8.619
_cell_length_b 5.114
_cell_length_c 10.768
_cell_angle_alpha 90.00
_cell_angle_beta 107.90
_cell_angle_gamma 90.00
loop_
_space_group_symop_operation_xyz
'x,y,z'
loop_
_atom_site_label
_atom_site_type_symbol
_atom_site_fract_x
_atom_site_fract_y
_atom_site_fract_z
_atom_site_occupancy
Zr1 Zr 0.046 0.250 0.407 1
Zr2 Zr 0.143 0.750 0.186 1
Zr3 Zr 0.256 0.250 0.006 1
Zr4 Zr 0.346 0.750 0.794 1
Zr5 Zr 0.347 0.250 0.300 1
Zr6 Zr 0.428 0.250 0.597 1
Zr7 Zr 0.572 0.750 0.403 1
Zr8 Zr 0.653 0.750 0.700 1
Zr9 Zr 0.654 0.250 0.206 1
Zr10 Zr 0.744 0.750 0.994 1
Zr11 Zr 0.857 0.250 0.814 1
Zr12 Zr 0.954 0.750 0.593 1
Tl1 Tl 0.449 0.750 0.111 1
Tl2 Tl 0.551 0.250 0.889 1
In1 In 0.040 0.750 0.887 1
In2 In 0.143 0.250 0.706 1
In3 In 0.266 0.750 0.481 1
In4 In 0.734 0.250 0.519 1
In5 In 0.857 0.750 0.294 1
In6 In 0.960 0.250 0.113 1